DFT (SCAN) results for YCuAg at its PBEsol-relaxed geometry.

Cell lengths 3.452, 4.421, 4.421 Å; angles 120.00, 90.00, 90.00 degrees
Sites, in units of the cell vectors:
Y (0.500, 0.333, 0.667)
Ag (0.000, 0.000, 0.000)
Cu (0.000, 0.667, 0.333)

Output
**E above lowest polymorph**: 0 meV/atom
**ΔH_f (0 K)**: -0.275 eV/atom
**Spin magnetization**: 0.00 Bohr magnetons per cell